{"formula": "Cs2Ag2Sn", "functional": "PBE", "state": "optimized geometry", "sg": "I4/mmm, No. 139", "e_form_kj_per_mol_atoms": 51, "relative_energy_mev_per_atom": 465.9, "cell": [[-1.885, 4.686, 0.757], [-1.295, -1.292, 4.768], [5.207, 4.031, 5.241]], "species": ["Cs", "Cs", "Ag", "Ag", "Sn"], "fractional_positions": [[0.250, 0.750, 0.500], [0.750, 0.250, 0.500], [0.587, 0.587, 0.826], [0.413, 0.413, 0.174], [0.000, 0.000, 0.000]]}



{"formula": "CdHg2Au", "functional": "PBE", "state": "optimized geometry", "sg": "Cmmm, No. 65", "e_form_kj_per_mol_atoms": 5, "relative_energy_mev_per_atom": 60.3, "cell": [[5.066, -0.216, 0.000], [-1.643, 4.797, 0.000], [0.000, 0.000, 3.795]], "species": ["Au", "Hg", "Hg", "Cd"], "fractional_positions": [[0.500, 0.000, 0.500], [0.500, 0.500, 0.000], [0.000, 0.000, 0.000], [0.000, 0.500, 0.500]]}



{"formula": "Li2CaNi2", "functional": "PBE", "state": "optimized geometry", "sg": "P4/mbm, No. 127", "e_form_kj_per_mol_atoms": 11, "relative_energy_mev_per_atom": 0.0, "cell": [[7.343, 0.000, 0.000], [0.000, 7.343, 0.000], [0.000, 0.000, 2.844]], "species": ["Ni", "Ni", "Ni", "Ni", "Li", "Li", "Li", "Li", "Ca", "Ca"], "fractional_positions": [[0.824, 0.324, 0.500], [0.676, 0.824, 0.500], [0.176, 0.676, 0.500], [0.324, 0.176, 0.500], [0.882, 0.618, 0.000], [0.118, 0.382, 0.000], [0.618, 0.118, 0.000], [0.382, 0.882, 0.000], [0.500, 0.500, 0.000], [0.000, 0.000, 0.000]]}



{"formula": "Sm4Y15Tl", "functional": "PBE", "state": "optimized geometry", "sg": "P4/mmm, No. 123", "e_form_kj_per_mol_atoms": -1, "cell": [[5.013, 0.000, 0.000], [0.000, 5.013, 0.000], [0.000, 0.000, 25.432]], "species": ["Y", "Y", "Y", "Y", "Y", "Y", "Y", "Y", "Y", "Y", "Y", "Y", "Y", "Y", "Y", "Sm", "Sm", "Sm", "Sm", "Tl"], "fractional_positions": [[0.500, 0.500, 0.601], [0.000, 0.500, 0.096], [0.000, 0.500, 0.904], [0.500, 0.000, 0.702], [0.000, 0.500, 0.298], [0.500, 0.000, 0.904], [0.500, 0.000, 0.298], [0.000, 0.500, 0.500], [0.500, 0.500, 0.000], [0.500, 0.000, 0.096], [0.500, 0.000, 0.500], [0.500, 0.500, 0.805], [0.000, 0.500, 0.702], [0.500, 0.500, 0.399], [0.500, 0.500, 0.195], [0.000, 0.000, 0.802], [0.000, 0.000, 0.601], [0.000, 0.000, 0.198], [0.000, 0.000, 0.399], [0.000, 0.000, 0.000]]}



{"formula": "Zr2MnAs", "functional": "PBE", "state": "optimized geometry", "sg": "F-43m, No. 216", "e_form_kj_per_mol_atoms": 5, "cell": [[4.640, 0.000, 0.000], [2.320, 4.018, 0.000], [2.320, 1.339, 3.789]], "species": ["As", "Zr", "Zr", "Mn"], "fractional_positions": [[0.500, 0.500, 0.500], [0.750, 0.750, 0.750], [0.000, 0.000, 0.000], [0.250, 0.250, 0.250]]}



{"formula": "Li8Pb6Au", "functional": "PBE", "state": "optimized geometry", "sg": "R-3, No. 148", "e_form_kj_per_mol_atoms": -22, "cell": [[8.403, 0.000, 0.000], [4.201, 7.277, 0.000], [4.201, 2.426, 5.453]], "species": ["Pb", "Pb", "Pb", "Pb", "Pb", "Pb", "Li", "Li", "Li", "Li", "Li", "Li", "Li", "Li", "Au"], "fractional_positions": [[0.560, 0.841, 0.238], [0.638, 0.440, 0.762], [0.159, 0.638, 0.762], [0.440, 0.159, 0.762], [0.841, 0.362, 0.238], [0.362, 0.560, 0.238], [0.056, 0.358, 0.715], [0.871, 0.056, 0.715], [0.358, 0.871, 0.715], [0.735, 0.735, 0.794], [0.265, 0.265, 0.206], [0.642, 0.129, 0.285], [0.944, 0.642, 0.285], [0.129, 0.944, 0.285], [0.000, 0.000, 0.000]]}



{"formula": "LiPr2P", "functional": "PBE", "state": "optimized geometry", "sg": "P4/mmm, No. 123", "e_form_kj_per_mol_atoms": -54, "relative_energy_mev_per_atom": 69.7, "cell": [[3.920, 0.000, 0.000], [0.000, 4.927, 0.000], [0.000, 0.000, 4.927]], "species": ["Pr", "Pr", "Li", "P"], "fractional_positions": [[0.000, 0.000, 0.500], [0.000, 0.500, 0.000], [0.500, 0.500, 0.500], [0.500, 0.000, 0.000]]}



{"formula": "CsGaPS2", "functional": "PBE", "state": "optimized geometry", "sg": "P4/mmm, No. 123", "e_form_raw_kj_per_mol_fu": 628, "relative_energy_mev_per_atom": 1242.2, "cell": [[5.932, 0.000, 0.000], [0.000, 5.932, 0.000], [0.000, 0.000, 5.884]], "species": ["S", "S", "Ga", "P", "Cs"], "fractional_positions": [[0.000, 0.500, 0.000], [0.500, 0.000, 0.000], [0.500, 0.500, 0.500], [0.000, 0.000, 0.500], [0.000, 0.000, 0.000]]}



{"formula": "TeOsPb2", "functional": "PBE", "state": "optimized geometry", "sg": "Cm, No. 8", "e_form_raw_kj_per_mol_fu": 163, "cell": [[4.995, -0.003, 0.016], [3.862, 3.168, 0.016], [2.253, 0.805, 6.821]], "species": ["Pb", "Pb", "Te", "Os"], "fractional_positions": [[0.920, 0.920, 0.019], [0.734, 0.734, 0.715], [0.556, 0.556, 0.416], [0.289, 0.289, 0.351]]}



{"formula": "In3SnSe6", "functional": "PBE", "state": "optimized geometry", "sg": "P2_1/m, No. 11", "e_form_raw_kj_per_mol_fu": -400, "relative_energy_mev_per_atom": 0.0, "cell": [[-3.778, -1.100, -0.052], [2.057, -7.502, 9.237], [-3.652, 12.403, 2.840]], "species": ["Se", "Se", "Se", "Se", "Se", "Se", "Se", "Se", "Se", "Se", "Se", "Se", "In", "In", "In", "In", "In", "In", "Sn", "Sn"], "fractional_positions": [[0.750, 0.430, 0.590], [0.750, 0.070, 0.429], [0.250, 0.280, 0.764], [0.250, 0.054, 0.918], [0.750, 0.374, 0.072], [0.250, 0.570, 0.410], [0.750, 0.946, 0.082], [0.250, 0.626, 0.928], [0.250, 0.930, 0.571], [0.750, 0.754, 0.714], [0.750, 0.720, 0.236], [0.250, 0.246, 0.286], [0.750, 0.458, 0.803], [0.250, 0.804, 0.866], [0.750, 0.738, 0.447], [0.750, 0.196, 0.134], [0.250, 0.262, 0.553], [0.250, 0.542, 0.197], [0.750, 0.992, 0.745], [0.250, 0.008, 0.255]]}



{"formula": "GaAgN2O", "functional": "PBE", "state": "optimized geometry", "sg": "P4/mmm, No. 123", "e_form_raw_kj_per_mol_fu": 494, "cell": [[3.996, 0.000, 0.000], [0.000, 3.996, 0.000], [0.000, 0.000, 3.926]], "species": ["N", "N", "O", "Ag", "Ga"], "fractional_positions": [[0.000, 0.500, 0.000], [0.500, 0.000, 0.000], [0.000, 0.000, 0.500], [0.500, 0.500, 0.500], [0.000, 0.000, 0.000]]}



{"formula": "Ba7Mg2In2", "functional": "PBE", "state": "optimized geometry", "sg": "Cmmm, No. 65", "e_form_kj_per_mol_atoms": -1, "cell": [[7.642, -0.003, -0.977], [0.005, 9.479, 0.004], [-1.451, -0.003, 7.566]], "species": ["Mg", "Mg", "Ba", "Ba", "Ba", "Ba", "Ba", "Ba", "Ba", "In", "In"], "fractional_positions": [[0.349, 0.000, 0.651], [0.651, 0.000, 0.349], [0.000, 0.000, 0.000], [0.500, 0.285, 0.000], [0.000, 0.285, 0.500], [0.500, 0.715, 0.000], [0.500, 0.686, 0.500], [0.000, 0.715, 0.500], [0.500, 0.314, 0.500], [0.842, 0.500, 0.842], [0.158, 0.500, 0.158]]}



no.,D(E_F) (states/eV/cell)
1,4.9
2,1.3
3,4.0
4,26.3
5,5.0
6,5.6
7,2.7
8,4.4
9,3.2
10,3.2
11,2.9
12,11.7